Record 1
A relaxed structure of Ce3Zn2Hg3, computed with PBE-GGA.

E_form ... -0.23 eV per atom
Magnetization ... 3.4 μB per formula unit
SG ... P-62m, No. 189

a = 3.668 Å, b = 8.001 Å, c = 8.001 Å
α = 120.00°, β = 90.00°, γ = 90.00°
Atoms (fractional coordinates):
Ce: 0.500 0.389 0.389
Hg: 0.000 0.261 0.000
Ce: 0.500 0.611 0.000
Hg: 0.000 0.000 0.261
Hg: 0.000 0.739 0.739
Zn: 0.000 0.333 0.667
Zn: 0.000 0.667 0.333
Ce: 0.500 0.000 0.611



Record 2
A relaxed structure of CeZnHg2, computed with PBE-GGA.

E_form ... -0.23 eV per atom
Magnetization ... 1.0 μB per formula unit
SG ... I4/mmm, No. 139

a = 4.793 Å, b = 4.793 Å, c = 8.959 Å
α = 105.52°, β = 105.52°, γ = 90.00°
Atoms (fractional coordinates):
Hg: 0.500 0.000 0.000
Hg: 0.653 0.653 0.306
Zn: 0.750 0.250 0.500
Ce: 0.862 0.862 0.725
Hg: 0.347 0.347 0.694
Zn: 0.250 0.750 0.500
Hg: 0.000 0.500 0.000
Ce: 0.138 0.138 0.275



Record 3
A relaxed structure of Ce2ZnHg3, computed with PBE-GGA.

E_form ... -0.34 eV per atom
Magnetization ... 2.4 μB per formula unit
SG ... Pmm2, No. 25

a = 3.382 Å, b = 4.976 Å, c = 8.619 Å
α = 90.00°, β = 90.00°, γ = 90.00°
Atoms (fractional coordinates):
Hg: 0.500 0.000 0.835
Hg: 0.500 0.000 0.177
Hg: 0.500 0.500 0.655
Ce: 0.000 0.000 0.497
Ce: 0.000 0.500 0.004
Zn: 0.500 0.500 0.331



Record 4
A relaxed structure of CeZnHg2, computed with PBE-GGA.

E_form ... -0.15 eV per atom
Magnetization ... 1.2 μB per formula unit
SG ... P4/mmm, No. 123

a = 3.538 Å, b = 3.538 Å, c = 7.462 Å
α = 90.00°, β = 90.00°, γ = 90.00°
Atoms (fractional coordinates):
Hg: 0.000 0.000 0.784
Ce: 0.500 0.500 0.500
Hg: 0.000 0.000 0.216
Zn: 0.500 0.500 0.000



Record 5
A relaxed structure of Ce2ZnHg, computed with PBE-GGA.

E_form ... -0.07 eV per atom
Magnetization ... 0.0 μB per formula unit
SG ... R-3m, No. 166

a = 3.201 Å, b = 3.201 Å, c = 10.922 Å
α = 81.57°, β = 81.57°, γ = 60.00°
Atoms (fractional coordinates):
Zn: 0.000 0.000 0.000
Ce: 0.255 0.255 0.236
Ce: 0.745 0.745 0.764
Hg: 0.500 0.500 0.500



Record 6
A relaxed structure of Ce2ZnHg8, computed with PBE-GGA.

E_form ... -0.19 eV per atom
Magnetization ... 2.7 μB per formula unit
SG ... P4/mmm, No. 123

a = 4.780 Å, b = 4.780 Å, c = 12.312 Å
α = 90.00°, β = 90.00°, γ = 90.00°
Atoms (fractional coordinates):
Hg: 0.500 0.000 0.128
Hg: 0.500 0.000 0.872
Hg: 0.500 0.500 0.684
Hg: 0.500 0.000 0.500
Hg: 0.500 0.500 0.316
Zn: 0.000 0.000 0.000
Ce: 0.000 0.000 0.306
Hg: 0.000 0.500 0.128
Hg: 0.000 0.500 0.872
Ce: 0.000 0.000 0.694
Hg: 0.000 0.500 0.500



Record 7
A relaxed structure of Ce2ZnHg, computed with PBE-GGA.

E_form ... -0.23 eV per atom
Magnetization ... 0.7 μB per formula unit
SG ... P4/mmm, No. 123

a = 4.639 Å, b = 4.525 Å, c = 4.525 Å
α = 90.00°, β = 90.00°, γ = 90.00°
Atoms (fractional coordinates):
Hg: 0.500 0.500 0.500
Zn: 0.500 0.000 0.000
Ce: 0.000 0.500 0.000
Ce: 0.000 0.000 0.500



Record 8
A relaxed structure of CeZn3Hg, computed with PBE-GGA.

E_form ... -0.15 eV per atom
Magnetization ... 1.1 μB per formula unit
SG ... C2/m, No. 12

a = 4.443 Å, b = 4.192 Å, c = 11.698 Å
α = 100.32°, β = 100.97°, γ = 90.00°
Atoms (fractional coordinates):
Zn: 0.963 0.213 0.425
Zn: 0.463 0.714 0.428
Ce: 0.837 0.588 0.176
Ce: 0.163 0.412 0.824
Zn: 0.727 0.977 0.955
Zn: 0.273 0.023 0.045
Zn: 0.037 0.787 0.575
Zn: 0.537 0.286 0.572
Hg: 0.389 0.139 0.279
Hg: 0.611 0.861 0.721